Entry 1:
The following is a DFT calculation (GGA-PBE) of a relaxed AgRhAu2 crystal.

The structure in extended XYZ format:
```
8
Lattice="-2.810 -2.718 -0.201 1.885 -1.730 -2.962 4.414 -7.733 4.741" Properties=species:S:1:pos:R:3 pbc="T T T"
Ag 0.000 0.000 0.000
Ag 0.571 -6.337 1.479
Au 2.971 -7.474 2.358
Au 1.920 -3.365 -0.692
Au 2.494 -9.685 0.800
Au -0.406 -3.838 0.690
Rh 2.919 -5.844 0.099
Rh -0.462 -2.224 -1.581
```

Properties
* energy of formation: 1.71 eV/f.u.
* crystal system: tetragonal
* E_tot: -3.763 eV per atom
* energy relative to the lowest polymorph listed for this composition: 346 meV/atom
* magnetization: 0.000 μB per formula unit
* DOS(E_F): 0.828 states/eV/atom

=====

Entry 2:
The following is a DFT calculation (GGA-PBE) of a relaxed NaSiTeP2 crystal.

The structure in extended XYZ format:
```
5
Lattice="-1.909 -4.118 0.305 4.681 -2.303 -1.807 1.475 -0.366 4.288" Properties=species:S:1:pos:R:3 pbc="T T T"
Si 0.000 0.000 0.000
P -0.954 -2.059 0.153
P 0.737 -0.183 2.144
Te 2.124 -3.394 1.393
Na 2.341 -1.152 -0.903
```

Properties
* formation energy without anion corrections: 2.4 eV/f.u.
* crystal system: tetragonal
* E_tot: -3.655 eV per atom
* magnetization: 0.000 μB per formula unit
* DOS(E_F): 0.579 states/eV/atom

=====

Entry 3:
The following is a DFT calculation (GGA-PBE) of a relaxed NiH2Pt crystal.

The structure in extended XYZ format:
```
4
Lattice="0.000 2.558 2.558 2.558 0.000 2.558 2.558 2.558 0.000" Properties=species:S:1:pos:R:3 pbc="T T T"
Pt 2.558 2.558 2.558
H 1.279 1.279 1.279
H 3.837 3.837 3.837
Ni 0.000 0.000 0.000
```

Properties
* crystal system: cubic
* E_tot: -4.196 eV per atom
* energy relative to the lowest polymorph listed for this composition: 447 meV/atom
* magnetization: 0.000 μB per formula unit
* DOS(E_F): 0.618 states/eV/atom

=====

Entry 4:
The following is a DFT calculation (GGA-PBE) of a relaxed KB2TeC crystal.

The structure in extended XYZ format:
```
5
Lattice="4.224 0.000 0.000 0.000 4.963 0.000 0.000 0.000 4.224" Properties=species:S:1:pos:R:3 pbc="T T T"
B 2.112 0.000 0.000
B 0.000 0.000 2.112
K 2.112 2.482 2.112
Te 0.000 2.482 0.000
C 0.000 0.000 0.000
```

Properties
* formation energy without anion corrections: 10.0 eV/f.u.
* crystal system: tetragonal
* E_tot: -3.373 eV per atom
* magnetization: 0.000 μB per formula unit
* DOS(E_F): 0.698 states/eV/atom

=====

Entry 5:
The following is a DFT calculation (GGA-PBE) of a relaxed Sr2LiTlP crystal.

The structure in extended XYZ format:
```
5
Lattice="5.923 0.000 0.000 0.000 5.923 0.000 0.000 0.000 4.723" Properties=species:S:1:pos:R:3 pbc="T T T"
Sr 2.962 0.000 0.000
Sr 0.000 2.962 0.000
Li 0.000 0.000 2.361
Tl 2.962 2.962 2.361
P 0.000 0.000 0.000
```

Properties
* energy of formation: -2.63 eV/f.u.
* crystal system: tetragonal
* E_tot: -3.136 eV per atom
* magnetization: 0.000 μB per formula unit
* DOS(E_F): 0.972 states/eV/atom

=====

Entry 6:
The following is a DFT calculation (GGA-PBE) of a relaxed RbNa4HgSb2 crystal.

The structure in extended XYZ format:
```
8
Lattice="5.401 0.000 0.000 2.700 4.677 0.000 2.700 1.559 9.609" Properties=species:S:1:pos:R:3 pbc="T T T"
Na 5.401 3.118 1.750
Na 2.700 1.559 5.787
Na 5.401 3.118 7.859
Na 8.101 4.677 3.822
Sb 8.101 4.677 7.214
Sb 2.700 1.559 2.395
Rb 0.000 0.000 0.000
Hg 5.401 3.118 4.805
```

Properties
* formation energy without anion corrections: -2.6 eV/f.u.
* crystal system: trigonal
* E_tot: -2.172 eV per atom
* magnetization: 0.000 μB per formula unit
* DOS(E_F): 0.806 states/eV/atom